A:
! PmSm3Ga | Alexandria via LeMat-Bulk | GGA-PBE | optimized geometry; values from VASP
&SYSTEM
  ibrav = 0, nat = 10, ntyp = 3
/
ATOMIC_SPECIES
Ga 69.72 Ga.upf
Sm 150.36 Sm.upf
Pm 145.00 Pm.upf
CELL_PARAMETERS angstrom
3.676 -0.001 -0.680
-0.368 8.389 -1.983
-0.080 -0.025 9.857
ATOMIC_POSITIONS crystal
Ga 0.812 0.545 0.882
Sm 0.599 0.496 0.456
Sm 0.414 0.812 0.088
Sm 0.217 0.296 0.693
Pm 0.009 0.156 0.277
Pm 0.822 0.068 0.899
Sm 0.613 0.929 0.482
Sm 0.417 0.413 0.088
Sm 0.232 0.729 0.719
Ga 0.018 0.679 0.294
! - Density: 7.29 g cm⁻³



B:
! PmSm3Ga | Alexandria via LeMat-Bulk | GGA-PBE | optimized geometry; values from VASP
&SYSTEM
  ibrav = 0, nat = 10, ntyp = 3
/
ATOMIC_SPECIES
Sm 150.36 Sm.upf
Ga 69.72 Ga.upf
Pm 145.00 Pm.upf
CELL_PARAMETERS angstrom
7.562 0.019 -0.295
-2.050 7.278 0.295
-3.293 -3.243 6.004
ATOMIC_POSITIONS crystal
Sm 0.846 0.075 0.301
Ga 0.374 0.251 0.625
Sm 0.226 0.456 0.301
Ga 0.626 0.749 0.375
Pm 0.722 0.058 0.781
Sm 0.707 0.438 0.145
Pm 0.278 0.942 0.219
Sm 0.154 0.925 0.699
Sm 0.293 0.562 0.855
Sm 0.774 0.544 0.699
! - Density: 6.72 g cm⁻³



Energetically preferred structure: A | next structure: +0.139 eV/atom



A:
! Pm2SmGa2 | Alexandria via LeMat-Bulk | GGA-PBE | optimized geometry; values from VASP
&SYSTEM
  ibrav = 0, nat = 10, ntyp = 3
/
ATOMIC_SPECIES
Ga 69.72 Ga.upf
Pm 145.00 Pm.upf
Sm 150.36 Sm.upf
CELL_PARAMETERS angstrom
-1.426 3.869 -1.839
-6.811 -0.763 3.676
2.839 3.936 6.077
ATOMIC_POSITIONS crystal
Ga 0.000 0.618 0.118
Pm 0.500 0.326 0.174
Ga 0.000 0.382 0.882
Ga 0.000 0.882 0.618
Pm 0.500 0.674 0.826
Pm 0.500 0.826 0.326
Sm 0.000 0.000 0.000
Sm 0.000 0.500 0.500
Ga 0.000 0.118 0.382
Pm 0.500 0.174 0.674
! - Density: 7.05 g cm⁻³



B:
! Pm2SmGa2 | Alexandria via LeMat-Bulk | GGA-PBE | optimized geometry; values from VASP
&SYSTEM
  ibrav = 0, nat = 5, ntyp = 3
/
ATOMIC_SPECIES
Sm 150.36 Sm.upf
Ga 69.72 Ga.upf
Pm 145.00 Pm.upf
CELL_PARAMETERS angstrom
-0.924 -3.153 -1.814
3.449 -3.200 3.807
-5.097 1.541 3.800
ATOMIC_POSITIONS crystal
Sm 0.000 0.000 0.000
Ga 0.704 0.107 0.409
Pm 0.364 0.431 0.729
Ga 0.296 0.893 0.591
Pm 0.636 0.569 0.271
! - Density: 6.92 g cm⁻³



Energetically preferred structure: A | next structure: +0.131 eV/atom



A:
! PmSmGa3 | Alexandria via LeMat-Bulk | GGA-PBE | optimized geometry; values from VASP
&SYSTEM
  ibrav = 0, nat = 10, ntyp = 3
/
ATOMIC_SPECIES
Ga 69.72 Ga.upf
Pm 145.00 Pm.upf
Sm 150.36 Sm.upf
CELL_PARAMETERS angstrom
4.271 0.000 -0.588
0.000 4.226 0.000
-0.359 0.000 13.194
ATOMIC_POSITIONS crystal
Ga 0.524 0.750 0.047
Ga 0.476 0.250 0.953
Pm 0.072 0.250 0.145
Ga 0.326 0.750 0.653
Ga 0.674 0.250 0.347
Ga 0.619 0.750 0.237
Pm 0.928 0.750 0.855
Sm 0.797 0.250 0.594
Sm 0.203 0.750 0.406
Ga 0.381 0.250 0.763
! - Density: 7.06 g cm⁻³



B:
! PmSmGa3 | Alexandria via LeMat-Bulk | GGA-PBE | optimized geometry; values from VASP
&SYSTEM
  ibrav = 0, nat = 10, ntyp = 3
/
ATOMIC_SPECIES
Ga 69.72 Ga.upf
Pm 145.00 Pm.upf
Sm 150.36 Sm.upf
CELL_PARAMETERS angstrom
-2.951 0.102 -3.020
0.888 -4.089 -1.006
-9.383 -2.011 9.101
ATOMIC_POSITIONS crystal
Ga 0.750 0.327 0.655
Ga 0.250 0.476 0.953
Ga 0.250 0.673 0.345
Pm 0.250 0.797 0.594
Sm 0.250 0.072 0.144
Ga 0.750 0.524 0.047
Ga 0.750 0.618 0.236
Sm 0.750 0.928 0.856
Pm 0.750 0.203 0.406
Ga 0.250 0.382 0.764
! - Density: 7.06 g cm⁻³



Energetically preferred structure: A | next structure: +0.007 eV/atom



A:
! PmSmGaSn | Alexandria via LeMat-Bulk | GGA-PBE | optimized geometry; values from VASP
&SYSTEM
  ibrav = 0, nat = 4, ntyp = 4
/
ATOMIC_SPECIES
Sm 150.36 Sm.upf
Ga 69.72 Ga.upf
Pm 145.00 Pm.upf
Sn 118.71 Sn.upf
CELL_PARAMETERS angstrom
5.331 0.000 0.000
2.665 4.616 0.000
2.665 1.539 4.352
ATOMIC_POSITIONS crystal
Sm 0.500 0.500 0.500
Ga 0.250 0.250 0.250
Pm 0.000 0.000 0.000
Sn 0.750 0.750 0.750
! - Density: 7.50 g cm⁻³



B:
! PmSmGaSn | Alexandria via LeMat-Bulk | GGA-PBE | optimized geometry; values from VASP
&SYSTEM
  ibrav = 0, nat = 4, ntyp = 4
/
ATOMIC_SPECIES
Sm 150.36 Sm.upf
Pm 145.00 Pm.upf
Sn 118.71 Sn.upf
Ga 69.72 Ga.upf
CELL_PARAMETERS angstrom
4.572 0.000 0.000
0.000 4.242 0.000
-2.286 0.000 5.718
ATOMIC_POSITIONS crystal
Sm 0.143 0.000 0.286
Pm 0.863 0.500 0.727
Sn 0.578 0.500 0.156
Ga 0.416 0.000 0.831
! - Density: 7.24 g cm⁻³



Energetically preferred structure: B | next structure: +0.149 eV/atom



A:
! PmSmTlGa | Alexandria via LeMat-Bulk | GGA-PBE | optimized geometry; values from VASP
&SYSTEM
  ibrav = 0, nat = 4, ntyp = 4
/
ATOMIC_SPECIES
Ga 69.72 Ga.upf
Pm 145.00 Pm.upf
Tl 204.38 Tl.upf
Sm 150.36 Sm.upf
CELL_PARAMETERS angstrom
3.705 0.000 0.000
0.000 3.705 0.000
0.000 0.000 7.795
ATOMIC_POSITIONS crystal
Ga 0.000 0.000 0.359
Pm 0.500 0.500 0.124
Tl 0.000 0.000 0.855
Sm 0.500 0.500 0.590
! - Density: 8.84 g cm⁻³



B:
! PmSmTlGa | Alexandria via LeMat-Bulk | GGA-PBE | optimized geometry; values from VASP
&SYSTEM
  ibrav = 0, nat = 4, ntyp = 4
/
ATOMIC_SPECIES
Pm 145.00 Pm.upf
Sm 150.36 Sm.upf
Tl 204.38 Tl.upf
Ga 69.72 Ga.upf
CELL_PARAMETERS angstrom
-3.188 1.762 3.901
0.452 -2.005 4.925
2.003 3.004 3.930
ATOMIC_POSITIONS crystal
Pm 0.000 0.000 0.000
Sm 0.500 0.500 0.500
Tl 0.750 0.750 0.750
Ga 0.250 0.250 0.250
! - Density: 8.80 g cm⁻³



Energetically preferred structure: A | next structure: +0.029 eV/atom



A:
! Pm5GaSn2 | Alexandria via LeMat-Bulk | GGA-PBE | optimized geometry; values from VASP
&SYSTEM
  ibrav = 0, nat = 16, ntyp = 3
/
ATOMIC_SPECIES
Sn 118.71 Sn.upf
Pm 145.00 Pm.upf
Ga 69.72 Ga.upf
CELL_PARAMETERS angstrom
4.791 0.000 0.000
0.000 8.094 0.000
0.000 0.000 12.527
ATOMIC_POSITIONS crystal
Sn 0.500 0.424 0.829
Pm 0.500 0.193 0.068
Pm 0.500 0.307 0.568
Pm 0.000 0.346 0.283
Pm 0.500 0.807 0.932
Pm 0.000 0.846 0.217
Sn 0.500 0.576 0.171
Pm 0.500 0.693 0.432
Ga 0.000 0.000 0.000
Pm 0.000 0.500 0.000
Sn 0.500 0.924 0.671
Sn 0.500 0.076 0.329
Pm 0.000 0.154 0.783
Pm 0.000 0.654 0.717
Ga 0.000 0.500 0.500
Pm 0.000 0.000 0.500
! - Density: 7.06 g cm⁻³



B:
! Pm5GaSn2 | Alexandria via LeMat-Bulk | GGA-PBE | optimized geometry; values from VASP
&SYSTEM
  ibrav = 0, nat = 16, ntyp = 3
/
ATOMIC_SPECIES
Pm 145.00 Pm.upf
Sn 118.71 Sn.upf
Ga 69.72 Ga.upf
CELL_PARAMETERS angstrom
8.199 0.000 0.000
0.000 8.199 0.000
-4.099 -4.099 7.121
ATOMIC_POSITIONS crystal
Pm 0.019 0.519 0.697
Sn 0.131 0.369 0.000
Sn 0.631 0.131 0.000
Ga 0.250 0.250 0.500
Ga 0.750 0.750 0.500
Pm 0.178 0.019 0.697
Sn 0.369 0.869 0.000
Pm 0.678 0.178 0.697
Pm 0.519 0.678 0.697
Pm 0.000 0.000 0.000
Pm 0.500 0.500 0.000
Sn 0.869 0.631 0.000
Pm 0.481 0.322 0.303
Pm 0.981 0.481 0.303
Pm 0.322 0.822 0.303
Pm 0.822 0.981 0.303
! - Density: 7.16 g cm⁻³



Energetically preferred structure: A | next structure: +0.060 eV/atom



A:
! Pm2GaSn4 | Alexandria via LeMat-Bulk | GGA-PBE | optimized geometry; values from VASP
&SYSTEM
  ibrav = 0, nat = 7, ntyp = 3
/
ATOMIC_SPECIES
Ga 69.72 Ga.upf
Sn 118.71 Sn.upf
Pm 145.00 Pm.upf
CELL_PARAMETERS angstrom
1.531 -5.436 -2.902
5.752 0.157 2.685
-5.344 0.150 3.888
ATOMIC_POSITIONS crystal
Ga 0.786 0.786 0.571
Sn 0.286 0.286 0.071
Sn 0.786 0.286 0.071
Sn 0.786 0.786 0.072
Sn 0.286 0.786 0.071
Pm 0.286 0.786 0.571
Pm 0.786 0.286 0.571
! - Density: 7.11 g cm⁻³



B:
! Pm2GaSn4 | Alexandria via LeMat-Bulk | GGA-PBE | optimized geometry; values from VASP
&SYSTEM
  ibrav = 0, nat = 7, ntyp = 3
/
ATOMIC_SPECIES
Sn 118.71 Sn.upf
Pm 145.00 Pm.upf
Ga 69.72 Ga.upf
CELL_PARAMETERS angstrom
4.495 0.000 0.000
0.000 4.495 0.000
0.000 0.000 9.447
ATOMIC_POSITIONS crystal
Sn 0.500 0.500 0.500
Pm 0.000 0.500 0.232
Sn 0.500 0.000 0.178
Pm 0.500 0.000 0.768
Ga 0.500 0.500 0.000
Sn 0.000 0.000 0.500
Sn 0.000 0.500 0.822
! - Density: 7.26 g cm⁻³



Energetically preferred structure: A | next structure: +0.014 eV/atom



A:
! PmGa2Sn | Alexandria via LeMat-Bulk | GGA-PBE | optimized geometry; values from VASP
&SYSTEM
  ibrav = 0, nat = 4, ntyp = 3
/
ATOMIC_SPECIES
Ga 69.72 Ga.upf
Pm 145.00 Pm.upf
Sn 118.71 Sn.upf
CELL_PARAMETERS angstrom
3.730 0.000 0.000
0.000 3.730 0.000
0.000 0.000 6.705
ATOMIC_POSITIONS crystal
Ga 0.000 0.000 0.284
Pm 0.500 0.500 0.000
Ga 0.000 0.000 0.716
Sn 0.500 0.500 0.500
! - Density: 7.18 g cm⁻³



B:
! PmGa2Sn | Alexandria via LeMat-Bulk | GGA-PBE | optimized geometry; values from VASP
&SYSTEM
  ibrav = 0, nat = 4, ntyp = 3
/
ATOMIC_SPECIES
Pm 145.00 Pm.upf
Sn 118.71 Sn.upf
Ga 69.72 Ga.upf
CELL_PARAMETERS angstrom
-1.206 2.689 -4.206
-3.232 -1.972 -3.469
-4.715 1.966 -0.526
ATOMIC_POSITIONS crystal
Pm 0.500 0.500 0.500
Sn 0.000 0.000 0.000
Ga 0.250 0.250 0.250
Ga 0.750 0.750 0.750
! - Density: 6.99 g cm⁻³



Energetically preferred structure: A | next structure: +0.058 eV/atom



A:
! PmGaSn2 | Alexandria via LeMat-Bulk | GGA-PBE | optimized geometry; values from VASP
&SYSTEM
  ibrav = 0, nat = 4, ntyp = 3
/
ATOMIC_SPECIES
Ga 69.72 Ga.upf
Pm 145.00 Pm.upf
Sn 118.71 Sn.upf
CELL_PARAMETERS angstrom
3.898 0.000 0.000
0.000 3.898 0.000
0.000 0.000 6.692
ATOMIC_POSITIONS crystal
Ga 0.500 0.500 0.000
Pm 0.500 0.500 0.500
Sn 0.000 0.000 0.218
Sn 0.000 0.000 0.782
! - Density: 7.38 g cm⁻³



B:
! PmGaSn2 | Alexandria via LeMat-Bulk | GGA-PBE | optimized geometry; values from VASP
&SYSTEM
  ibrav = 0, nat = 4, ntyp = 3
/
ATOMIC_SPECIES
Sn 118.71 Sn.upf
Pm 145.00 Pm.upf
Ga 69.72 Ga.upf
CELL_PARAMETERS angstrom
4.890 0.000 0.000
2.445 4.235 0.000
2.445 1.412 5.155
ATOMIC_POSITIONS crystal
Sn 0.722 0.722 0.834
Pm 0.500 0.500 0.500
Sn 0.278 0.278 0.166
Ga 0.000 0.000 0.000
! - Density: 7.03 g cm⁻³



Energetically preferred structure: A | next structure: +0.085 eV/atom



A:
! Pm2Ga2Sn | Alexandria via LeMat-Bulk | GGA-PBE | optimized geometry; values from VASP
&SYSTEM
  ibrav = 0, nat = 10, ntyp = 3
/
ATOMIC_SPECIES
Pm 145.00 Pm.upf
Sn 118.71 Sn.upf
Ga 69.72 Ga.upf
CELL_PARAMETERS angstrom
-2.928 1.171 3.164
1.851 -1.903 5.570
3.920 8.524 3.626
ATOMIC_POSITIONS crystal
Pm 0.686 0.733 0.895
Pm 0.514 0.654 0.317
Sn 0.798 0.070 0.333
Ga 0.959 0.180 0.903
Ga 0.132 0.301 0.434
Sn 0.202 0.930 0.667
Pm 0.486 0.346 0.683
Ga 0.041 0.820 0.097
Pm 0.314 0.267 0.105
Ga 0.868 0.699 0.566
! - Density: 7.27 g cm⁻³



B:
! Pm2Ga2Sn | Alexandria via LeMat-Bulk | GGA-PBE | optimized geometry; values from VASP
&SYSTEM
  ibrav = 0, nat = 5, ntyp = 3
/
ATOMIC_SPECIES
Pm 145.00 Pm.upf
Ga 69.72 Ga.upf
Sn 118.71 Sn.upf
CELL_PARAMETERS angstrom
-3.691 -2.137 0.272
1.696 -3.190 -2.055
1.220 -1.205 7.081
ATOMIC_POSITIONS crystal
Pm 0.500 0.371 0.742
Ga 0.000 0.201 0.403
Pm 0.500 0.629 0.258
Ga 0.000 0.799 0.597
Sn 0.000 0.000 0.000
! - Density: 7.34 g cm⁻³



Energetically preferred structure: B | next structure: +0.048 eV/atom



A:
! Pm3Ga2Sn3 | Alexandria via LeMat-Bulk | GGA-PBE | optimized geometry; values from VASP
&SYSTEM
  ibrav = 0, nat = 16, ntyp = 3
/
ATOMIC_SPECIES
Sn 118.71 Sn.upf
Ga 69.72 Ga.upf
Pm 145.00 Pm.upf
CELL_PARAMETERS angstrom
4.793 0.000 0.000
-2.397 5.702 0.000
0.000 0.000 15.334
ATOMIC_POSITIONS crystal
Sn 0.732 0.464 0.250
Ga 0.828 0.656 0.841
Ga 0.172 0.344 0.341
Sn 0.268 0.536 0.750
Ga 0.172 0.344 0.159
Pm 0.354 0.709 0.964
Pm 0.446 0.892 0.250
Sn 0.061 0.122 0.908
Sn 0.061 0.122 0.592
Pm 0.646 0.291 0.464
Sn 0.939 0.878 0.408
Pm 0.646 0.291 0.036
Ga 0.828 0.656 0.659
Sn 0.939 0.878 0.092
Pm 0.554 0.108 0.750
Pm 0.354 0.709 0.536
! - Density: 7.37 g cm⁻³



B:
! Pm3Ga2Sn3 | Alexandria via LeMat-Bulk | GGA-PBE | optimized geometry; values from VASP
&SYSTEM
  ibrav = 0, nat = 16, ntyp = 3
/
ATOMIC_SPECIES
Sn 118.71 Sn.upf
Ga 69.72 Ga.upf
Pm 145.00 Pm.upf
CELL_PARAMETERS angstrom
-0.519 -2.841 3.349
-0.459 -2.943 -5.487
15.769 -2.716 0.138
ATOMIC_POSITIONS crystal
Sn 0.629 0.257 0.037
Ga 0.227 0.453 0.119
Sn 0.371 0.743 0.537
Sn 0.608 0.216 0.750
Ga 0.773 0.547 0.881
Pm 0.665 0.331 0.250
Sn 0.392 0.784 0.250
Ga 0.773 0.547 0.619
Pm 0.335 0.669 0.750
Pm 0.943 0.886 0.112
Ga 0.227 0.453 0.381
Pm 0.943 0.886 0.388
Sn 0.371 0.743 0.963
Pm 0.057 0.114 0.612
Sn 0.629 0.257 0.463
Pm 0.057 0.114 0.888
! - Density: 7.48 g cm⁻³



Energetically preferred structure: B | next structure: +0.094 eV/atom



A:
! SrPm2Ga | Alexandria via LeMat-Bulk | GGA-PBE | optimized geometry; values from VASP
&SYSTEM
  ibrav = 0, nat = 4, ntyp = 3
/
ATOMIC_SPECIES
Pm 145.00 Pm.upf
Ga 69.72 Ga.upf
Sr 87.62 Sr.upf
CELL_PARAMETERS angstrom
-1.146 -2.883 2.106
3.393 -0.190 1.586
-2.867 6.160 6.873
ATOMIC_POSITIONS crystal
Pm 0.000 0.000 0.177
Ga 0.500 0.500 0.000
Sr 0.500 0.500 0.500
Pm 0.000 0.000 0.823
! - Density: 5.47 g cm⁻³



B:
! SrPm2Ga | Alexandria via LeMat-Bulk | GGA-PBE | optimized geometry; values from VASP
&SYSTEM
  ibrav = 0, nat = 4, ntyp = 3
/
ATOMIC_SPECIES
Ga 69.72 Ga.upf
Sr 87.62 Sr.upf
Pm 145.00 Pm.upf
CELL_PARAMETERS angstrom
4.861 0.000 0.000
2.430 4.209 0.000
2.430 1.403 7.109
ATOMIC_POSITIONS crystal
Ga 0.000 0.000 0.000
Sr 0.500 0.500 0.500
Pm 0.281 0.281 0.157
Pm 0.719 0.719 0.843
! - Density: 5.11 g cm⁻³



Energetically preferred structure: A | next structure: +0.138 eV/atom